(1)
# NaLa2Co (PBE, optimized geometry)
# Distance to the lowest polymorph of the same formula ... 19.5 meV/atom
# Energy of formation ... -0.04 eV per atom
# E ... -4.61 eV/atom
# DOS at the Fermi energy ... 6.32 states/eV per cell
data_NaLa2Co
_chemical_formula_sum 'Na2 La4 Co2'
_space_group_name_H-M_alt 'P 1 21/m 1'
_space_group_IT_number 11
_cell_length_a 3.986
_cell_length_b 5.691
_cell_length_c 11.505
_cell_angle_alpha 90.00
_cell_angle_beta 99.77
_cell_angle_gamma 90.00
loop_
_space_group_symop_operation_xyz
'x,y,z'
'-x,-y,-z'
'-x,y+1/2,-z'
'x,-y+1/2,z'
loop_
_atom_site_label
_atom_site_type_symbol
_atom_site_fract_x
_atom_site_fract_y
_atom_site_fract_z
_atom_site_occupancy
Na1 Na 0.043 0.250 0.081 1
La1 La 0.212 0.250 0.424 1
La2 La 0.379 0.250 0.760 1
Co1 Co 0.197 0.750 0.391 1



(2)
# NaLa2Co2 (PBE, optimized geometry)
# Distance to the lowest polymorph of the same formula ... 113.9 meV/atom
# Energy of formation ... 0.25 eV per atom
# E ... -4.82 eV/atom
# DOS at the Fermi energy ... 8.94 states/eV per cell
data_NaLa2Co2
_chemical_formula_sum 'Na2 La4 Co4'
_space_group_name_H-M_alt 'P 4/m b m'
_space_group_IT_number 127
_space_group_name_Hall '-P 4 2ab'
_cell_length_a 8.310
_cell_length_b 8.310
_cell_length_c 3.318
_cell_angle_alpha 90.00
_cell_angle_beta 90.00
_cell_angle_gamma 90.00
loop_
_atom_site_label
_atom_site_type_symbol
_atom_site_fract_x
_atom_site_fract_y
_atom_site_fract_z
_atom_site_occupancy
Na1 Na 0.000 0.000 0.000 1
La1 La 0.147 0.353 0.000 1
Co1 Co 0.137 0.637 0.500 1



(3)
# NaLa2Co (PBE, optimized geometry)
# Distance to the lowest polymorph of the same formula ... 59.0 meV/atom
# Energy of formation ... 0.00 eV per atom
# E ... -4.57 eV/atom
# DOS at the Fermi energy ... 11.04 states/eV per cell
data_NaLa2Co
_chemical_formula_sum 'Na3 La6 Co3'
_space_group_name_H-M_alt 'R -3 m'
_space_group_IT_number 166
_space_group_name_Hall '-R 3 2"'
_cell_length_a 4.0035
_cell_length_b 4.0035
_cell_length_c 31.8194
_cell_angle_alpha 90.00
_cell_angle_beta 90.00
_cell_angle_gamma 120.00
loop_
_atom_site_label
_atom_site_type_symbol
_atom_site_fract_x
_atom_site_fract_y
_atom_site_fract_z
_atom_site_occupancy
Na1 Na 0.0000 0.0000 0.0000 1
La1 La 0.0000 0.0000 0.1199 1
Co1 Co 0.0000 0.0000 0.5000 1



(4)
# NaLaCo2 (PBE, optimized geometry)
# Distance to the lowest polymorph of the same formula ... 0.0 meV/atom
# Energy of formation ... 0.58 eV per atom
# E ... -4.54 eV/atom
# DOS at the Fermi energy ... 18.15 states/eV per cell
data_NaLaCo2
_chemical_formula_sum 'Na4 La4 Co8'
_space_group_name_H-M_alt 'F m -3 m'
_space_group_IT_number 225
_space_group_name_Hall '-F 4 2 3'
_cell_length_a 6.672
_cell_length_b 6.672
_cell_length_c 6.672
_cell_angle_alpha 90.00
_cell_angle_beta 90.00
_cell_angle_gamma 90.00
loop_
_atom_site_label
_atom_site_type_symbol
_atom_site_fract_x
_atom_site_fract_y
_atom_site_fract_z
_atom_site_occupancy
Na1 Na 0.000 0.000 0.000 1
La1 La 0.000 0.000 0.500 1
Co1 Co 0.250 0.250 0.250 1



(5)
# NaLaNb2Co (PBE, optimized geometry)
# Energy of formation ... 0.66 eV per atom
# E ... -6.04 eV/atom
# DOS at the Fermi energy ... 6.42 states/eV per cell
data_NaLaNb2Co
_chemical_formula_sum 'Na1 La1 Nb2 Co1'
_space_group_name_H-M_alt 'P 4/m m m'
_space_group_IT_number 123
_space_group_name_Hall '-P 4 2'
_cell_length_a 4.690
_cell_length_b 4.690
_cell_length_c 5.215
_cell_angle_alpha 90.00
_cell_angle_beta 90.00
_cell_angle_gamma 90.00
loop_
_atom_site_label
_atom_site_type_symbol
_atom_site_fract_x
_atom_site_fract_y
_atom_site_fract_z
_atom_site_occupancy
Na1 Na 0.000 0.000 0.000 1
La1 La 0.500 0.500 0.000 1
Nb1 Nb 0.000 0.500 0.500 1
Co1 Co 0.000 0.000 0.500 1